(1)
# Fe2Ge2Te

An optimized crystal structure of Fe2Ge2Te (GGA-PBEsol, Alexandria).

The structure belongs to space group I4/mmm (No. 139); the cell edges are 3.6025, 3.6025 and 11.5120 Å and the angles 90.00°, 90.00° and 90.00°. The distinct sites, in fractional coordinates, are Fe at (0.0000, 0.0000, 0.1127), Ge at (0.0000, 0.5000, 0.2500) and Te at (0.0000, 0.0000, 0.5000).

Its total magnetization is 0.0 μB/f.u. For the density of states at the Fermi level, the calculation gives 9.07 states/eV/cell. Its formation energy (no corrections) is 0.140 eV per atom. For the uncorrected energy, the calculation gives -6.126 eV/atom.



(2)
# TiFe6Ge6

An optimized crystal structure of TiFe6Ge6 (GGA-PBEsol, Alexandria).

The structure belongs to space group P6/mmm (No. 191); the cell edges are 4.9121, 4.9121 and 7.8791 Å and the angles 90.00°, 90.00° and 120.00°. The distinct sites, in fractional coordinates, are Ti at (0.0000, 0.0000, 0.0000), Fe at (0.0000, 0.5000, 0.2485), Ge at (0.0000, 0.0000, 0.3361), Ge at (0.3333, 0.6667, 0.0000) and Ge at (0.3333, 0.6667, 0.5000).

Its total magnetization is 8.0 μB/f.u. For the density of states at the Fermi level, the calculation gives 10.70 states/eV/cell. The formation energy is -0.282 eV per atom. For the uncorrected energy, the calculation gives -7.338 eV/atom.



(3)
# TiFeGe

An optimized crystal structure of TiFeGe (GGA-PBEsol, Alexandria).

The structure belongs to space group Ima2 (No. 46); the cell edges are 6.9976, 10.7949 and 6.2815 Å and the angles 90.00°, 90.00° and 90.00°. The distinct sites, in fractional coordinates, are Ti at (0.2500, 0.0021, 0.0000), Ti at (0.2500, 0.2295, 0.3464), Ti at (0.2500, 0.6944, 0.8872), Fe at (0.0000, 0.0000, 0.3377), Fe at (0.0381, 0.6228, 0.2063), Ge at (0.0078, 0.6672, 0.5810) and Ge at (0.2500, 0.0345, 0.5902).

Its total magnetization is 0.1 μB/f.u. For the density of states at the Fermi level, the calculation gives 16.15 states/eV/cell. The formation energy is -0.614 eV per atom. For the uncorrected energy, the calculation gives -8.023 eV/atom.



(4)
# TiFeGe2

An optimized crystal structure of TiFeGe2 (GGA-PBEsol, Alexandria).

The structure belongs to space group Pbam (No. 55); the cell edges are 8.7215, 9.7663 and 7.6841 Å and the angles 90.00°, 90.00° and 90.00°. The distinct sites, in fractional coordinates, are Ti at (0.1653, 0.1801, 0.0000), Ti at (0.1728, 0.4521, 0.2375), Fe at (0.0000, 0.0000, 0.2442), Fe at (0.0921, 0.7465, 0.2479), Ge at (0.0398, 0.6208, 0.0000), Ge at (0.0407, 0.6219, 0.5000), Ge at (0.1303, 0.8998, 0.0000), Ge at (0.1331, 0.9053, 0.5000) and Ge at (0.1607, 0.1818, 0.3377).

Its total magnetization is 0.0 μB/f.u. For the density of states at the Fermi level, the calculation gives 35.67 states/eV/cell. The formation energy is -0.520 eV per atom. For the uncorrected energy, the calculation gives -7.311 eV/atom.



(5)
# TiFeGe3

An optimized crystal structure of TiFeGe3 (GGA-PBEsol, Alexandria).

The structure belongs to space group Pm-3m (No. 221); the cell edges are 4.4559, 4.4559 and 4.4559 Å and the angles 90.00°, 90.00° and 90.00°. The distinct sites, in fractional coordinates, are Ti at (0.0000, 0.0000, 0.0000), Fe at (0.5000, 0.5000, 0.5000) and Ge at (0.0000, 0.5000, 0.5000).

Its total magnetization is 2.3 μB/f.u. For the density of states at the Fermi level, the calculation gives 8.23 states/eV/cell. The formation energy is 0.420 eV per atom. For the uncorrected energy, the calculation gives -6.001 eV/atom.



(6)
# TmFe2Ge2

An optimized crystal structure of TmFe2Ge2 (GGA-PBEsol, Alexandria).

The structure belongs to space group I4/mmm (No. 139); the cell edges are 3.9032, 3.9032 and 9.9158 Å and the angles 90.00°, 90.00° and 90.00°. The distinct sites, in fractional coordinates, are Tm at (0.0000, 0.0000, 0.0000), Fe at (0.0000, 0.5000, 0.2500) and Ge at (0.0000, 0.0000, 0.3731).

Its total magnetization is 1.2 μB/f.u. For the density of states at the Fermi level, the calculation gives 10.12 states/eV/cell. The formation energy is -0.511 eV per atom. For the uncorrected energy, the calculation gives -7.052 eV/atom.



(7)
# Tm3Fe2Ge3

An optimized crystal structure of Tm3Fe2Ge3 (GGA-PBEsol, Alexandria).

The structure belongs to space group Cmcm (No. 63); the cell edges are 4.0705, 10.3456 and 13.4355 Å and the angles 90.00°, 90.00° and 90.00°. The distinct sites, in fractional coordinates, are Tm at (0.0000, 0.0814, 0.1114), Tm at (0.0000, 0.3607, 0.2500), Fe at (0.0000, 0.2151, 0.5829), Ge at (0.0000, 0.3310, 0.7500) and Ge at (0.0000, 0.3787, 0.0414).

Its total magnetization is 0.0 μB/f.u. For the density of states at the Fermi level, the calculation gives 16.97 states/eV/cell. The formation energy is -0.691 eV per atom. For the uncorrected energy, the calculation gives -6.621 eV/atom.



(8)
# Tm9Fe10Ge10

An optimized crystal structure of Tm9Fe10Ge10 (GGA-PBEsol, Alexandria).

The structure belongs to space group Immm (No. 71); the cell edges are 5.2472, 13.0295 and 13.7215 Å and the angles 90.00°, 90.00° and 90.00°. The distinct sites, in fractional coordinates, are Tm at (0.0000, 0.0000, 0.0000), Tm at (0.0000, 0.1471, 0.3646), Tm at (0.0000, 0.2777, 0.0000), Tm at (0.0000, 0.5000, 0.1977), Fe at (0.0000, 0.5000, 0.4057), Fe at (0.2436, 0.3570, 0.3456), Ge at (0.0000, 0.0000, 0.2084), Ge at (0.0000, 0.2876, 0.2059), Ge at (0.0000, 0.3297, 0.5000) and Ge at (0.2469, 0.5000, 0.0000).

Its total magnetization is 13.4 μB/f.u. For the density of states at the Fermi level, the calculation gives 42.66 states/eV/cell. The formation energy is -0.605 eV per atom. For the uncorrected energy, the calculation gives -6.919 eV/atom.



(9)
# Tm3Fe4Ge4

An optimized crystal structure of Tm3Fe4Ge4 (GGA-PBEsol, Alexandria).

The structure belongs to space group Immm (No. 71); the cell edges are 4.0570, 6.6241 and 13.0941 Å and the angles 90.00°, 90.00° and 90.00°. The distinct sites, in fractional coordinates, are Tm at (0.0000, 0.0000, 0.0000), Tm at (0.0000, 0.5000, 0.1270), Fe at (0.0000, 0.3173, 0.3224), Ge at (0.0000, 0.0000, 0.2215) and Ge at (0.0000, 0.1968, 0.5000).

Its total magnetization is 6.6 μB/f.u. For the density of states at the Fermi level, the calculation gives 21.63 states/eV/cell. The formation energy is -0.543 eV per atom. For the uncorrected energy, the calculation gives -6.935 eV/atom.



(10)
# FeGeW2

An optimized crystal structure of FeGeW2 (GGA-PBEsol, Alexandria).

The structure belongs to space group Fm-3m (No. 225); the cell edges are 6.0648, 6.0648 and 6.0648 Å and the angles 90.00°, 90.00° and 90.00°. The distinct sites, in fractional coordinates, are Fe at (0.0000, 0.0000, 0.0000), Ge at (0.0000, 0.0000, 0.5000) and W at (0.2500, 0.2500, 0.2500).

Its total magnetization is 1.9 μB/f.u. For the density of states at the Fermi level, the calculation gives 10.38 states/eV/cell. The formation energy is 0.269 eV per atom. For the uncorrected energy, the calculation gives -10.111 eV/atom.



(11)
# YFe2Ge2

An optimized crystal structure of YFe2Ge2 (GGA-PBEsol, Alexandria).

The structure belongs to space group I4/mmm (No. 139); the cell edges are 3.9568, 3.9568 and 9.8366 Å and the angles 90.00°, 90.00° and 90.00°. The distinct sites, in fractional coordinates, are Y at (0.0000, 0.0000, 0.0000), Fe at (0.0000, 0.5000, 0.2500) and Ge at (0.0000, 0.0000, 0.3694).

Its total magnetization is 0.9 μB/f.u. For the density of states at the Fermi level, the calculation gives 10.45 states/eV/cell. The formation energy is -0.531 eV per atom. For the uncorrected energy, the calculation gives -7.456 eV/atom.



(12)
# YFe2Ge2

An optimized crystal structure of YFe2Ge2 (GGA-PBEsol, Alexandria).

The structure belongs to space group I4/mmm (No. 139); the cell edges are 4.1308, 4.1308 and 8.9931 Å and the angles 90.00°, 90.00° and 90.00°. The distinct sites, in fractional coordinates, are Y at (0.0000, 0.0000, 0.0000), Fe at (0.0000, 0.0000, 0.3854) and Ge at (0.0000, 0.5000, 0.2500).

Its total magnetization is 0.0 μB/f.u. For the density of states at the Fermi level, the calculation gives 7.57 states/eV/cell. The formation energy is -0.370 eV per atom. For the uncorrected energy, the calculation gives -7.296 eV/atom.



Look up the density of states at the Fermi level of the twelfth one. 7.57 states/eV/cell



uncorrected energy of number 9 (Tm3Fe4Ge4)? -6.935 eV/atom



density of states at the Fermi level of number 5 (TiFeGe3)? 8.23 states/eV/cell



Which of these has the highest density of states at the Fermi level? Tm9Fe10Ge10